VASP calculation (PBE) on a relaxed structure of La5AlIn4.

Total DFT energy (no corrections) in eV/atom: -4.42
Energy of formation in meV/atom: -482
Theoretical density in Mg/m³: 6.489

```
data_La5AlIn4
_chemical_formula_sum 'La5 Al1 In4'
_space_group_name_H-M_alt 'P 4/m m m'
_space_group_IT_number 123
_space_group_name_Hall '-P 4 2'
_cell_length_a 3.904
_cell_length_b 3.904
_cell_length_c 19.827
_cell_angle_alpha 90.00
_cell_angle_beta 90.00
_cell_angle_gamma 90.00
loop_
_atom_site_label
_atom_site_fract_x
_atom_site_fract_y
_atom_site_fract_z
La1 0.000 0.000 0.000
La2 0.000 0.000 0.204
La3 0.000 0.000 0.407
Al1 0.500 0.500 0.500
In1 0.500 0.500 0.102
In2 0.500 0.500 0.305
```

---

VASP calculation (PBE) on a relaxed structure of NaAsIrW2.

Total DFT energy (no corrections) in eV/atom: -5.33
Energy of formation in meV/atom: 2820
Theoretical density in Mg/m³: 11.793

```
data_NaAsIrW2
_chemical_formula_sum 'Na1 As1 Ir1 W2'
_space_group_name_H-M_alt 'P 4/m m m'
_space_group_IT_number 123
_space_group_name_Hall '-P 4 2'
_cell_length_a 4.569
_cell_length_b 4.569
_cell_length_c 4.437
_cell_angle_alpha 90.00
_cell_angle_beta 90.00
_cell_angle_gamma 90.00
loop_
_atom_site_label
_atom_site_fract_x
_atom_site_fract_y
_atom_site_fract_z
Na1 0.000 0.000 0.000
As1 0.000 0.000 0.500
Ir1 0.500 0.500 0.500
W1 0.000 0.500 0.000
```

---

VASP calculation (PBE) on a relaxed structure of PrTmAg2.

Energy above the lowest structure with this stoichiometry in eV/atom: 0.029
Total DFT energy (no corrections) in eV/atom: -4.01
Energy of formation in meV/atom: -270
Theoretical density in Mg/m³: 8.645

```
data_PrTmAg2
_chemical_formula_sum 'Pr4 Tm4 Ag8'
_space_group_name_H-M_alt 'F m -3 m'
_space_group_IT_number 225
_space_group_name_Hall '-F 4 2 3'
_cell_length_a 7.391
_cell_length_b 7.391
_cell_length_c 7.391
_cell_angle_alpha 90.00
_cell_angle_beta 90.00
_cell_angle_gamma 90.00
loop_
_atom_site_label
_atom_site_fract_x
_atom_site_fract_y
_atom_site_fract_z
Pr1 0.000 0.000 0.000
Tm1 0.000 0.000 0.500
Ag1 0.250 0.250 0.250
```

---

VASP calculation (PBE) on a relaxed structure of TaNb6Al.

Energy above the lowest structure with this stoichiometry in eV/atom: 0.000
Total DFT energy (no corrections) in eV/atom: -9.62
Energy of formation in meV/atom: -122
Theoretical density in Mg/m³: 8.758

```
data_TaNb6Al
_chemical_formula_sum 'Ta1 Nb6 Al1'
_space_group_name_H-M_alt 'P 1 2/m 1'
_space_group_IT_number 10
_cell_length_a 5.253
_cell_length_b 5.257
_cell_length_c 5.255
_cell_angle_alpha 90.00
_cell_angle_beta 90.11
_cell_angle_gamma 90.00
loop_
_space_group_symop_operation_xyz
'x,y,z'
'-x,-y,-z'
'-x,y,-z'
'x,-y,z'
loop_
_atom_site_label
_atom_site_fract_x
_atom_site_fract_y
_atom_site_fract_z
Ta1 0.000 0.000 0.000
Nb1 0.000 0.248 0.500
Nb2 0.248 0.500 0.000
Nb3 0.500 0.000 0.249
Al1 0.500 0.500 0.500
```

---

> The highest energy of formation belongs to which entry?

NaAsIrW2

---

> Look up the theoretical density of the third one.

8.645 Mg/m³